Record 1
Material: Li2ZnRu
Method: DFT, PBE
State: optimized geometry

abc: 2.553 2.553 8.621
angles: 90.00 90.00 90.00
Space group P4/mmm (No. 123)
Unique sites:
Li (0.000, 0.000, 0.243)
Zn (0.500, 0.500, 0.500)
Ru (0.500, 0.500, 0.000)

M_tot ... 0.00 μB per cell
ΔH_f (0 K) ... 22.7 kJ/mol of formula units
Total energy ... -3.5354 eV/atom

Record 2
Material: Mn2NiAg
Method: DFT, PBE
State: optimized geometry

abc: 2.848 2.848 6.829
angles: 90.00 90.00 90.00
Space group P4mm (No. 99)
Unique sites:
Mn (0.000, 0.000, 0.000)
Mn (0.500, 0.500, 0.241)
Ni (0.000, 0.000, 0.437)
Ag (0.500, 0.500, 0.710)

M_tot ... 6.52 μB per cell
ΔH_f (0 K) ... 97.8 kJ/mol of formula units
Total energy ... -6.4894 eV/atom